a) {"formula": "InCoH2", "functional": "PBE-GGA", "state": "relaxed", "lattice_angstrom": [[4.279, 0.000, 0.000], [0.000, 4.279, 0.000], [2.140, 2.140, 4.451]], "species": ["H", "H", "H", "H", "In", "In", "Co", "Co"], "fractional_positions": [[0.375, 0.547, 0.750], [0.297, 0.625, 0.250], [0.875, 0.703, 0.750], [0.453, 0.125, 0.250], [0.000, 0.000, 0.000], [0.750, 0.250, 0.500], [0.250, 0.750, 0.500], [0.500, 0.500, 0.000]], "n_ef_per_ev_cell": 3.9, "m_tot_mub_per_fu": 0.01}

=====

b) {"formula": "InCoH2", "functional": "PBE-GGA", "state": "relaxed", "lattice_angstrom": [[2.880, 0.002, -0.879], [-0.269, 2.868, -0.878], [-0.085, -0.094, 4.891]], "species": ["H", "H", "In", "Co"], "fractional_positions": [[0.539, 0.539, 0.078], [0.039, 0.039, 0.078], [0.307, 0.807, 0.614], [0.615, 0.115, 0.229]], "n_ef_per_ev_cell": 1.0, "m_tot_mub_per_fu": 0.54}

=====

c) {"formula": "InCoH2", "functional": "PBE-GGA", "state": "relaxed", "lattice_angstrom": [[-2.063, -2.152, -0.008], [0.137, -2.203, 2.003], [-3.427, 1.206, 3.781]], "species": ["Co", "In", "H", "H"], "fractional_positions": [[0.000, 0.000, 0.000], [0.500, 0.500, 0.500], [0.689, 0.689, 0.932], [0.311, 0.311, 0.068]], "n_ef_per_ev_cell": 1.7, "m_tot_mub_per_fu": 0.15}

=====

d) {"formula": "InCoH2", "functional": "PBE-GGA", "state": "relaxed", "lattice_angstrom": [[-3.538, -1.131, 0.782], [-2.640, 0.006, -2.727], [-1.294, -3.284, -1.395]], "species": ["H", "H", "Co", "In"], "fractional_positions": [[0.750, 0.750, 0.750], [0.250, 0.250, 0.250], [0.000, 0.000, 0.000], [0.500, 0.500, 0.500]], "n_ef_per_ev_cell": 2.2, "m_tot_mub_per_fu": 0.38}

=====

Quick one: least stable of them? d)

=====

a) {"formula": "InCo2H2", "functional": "PBE-GGA", "state": "relaxed", "lattice_angstrom": [[3.109, 0.000, 0.000], [0.000, 3.109, 0.000], [1.554, 1.554, 4.781]], "species": ["In", "Co", "Co", "H", "H"], "fractional_positions": [[0.000, 0.000, 0.000], [0.333, 0.333, 0.334], [0.667, 0.667, 0.666], [0.750, 0.250, 0.500], [0.250, 0.750, 0.500]], "n_ef_per_ev_cell": 3.8, "m_tot_mub_per_fu": 0.22}

=====

b) {"formula": "InCo2H2", "functional": "PBE-GGA", "state": "relaxed", "lattice_angstrom": [[5.978, 0.000, 0.000], [0.000, 5.978, 0.000], [0.000, 0.000, 2.733]], "species": ["Co", "Co", "Co", "Co", "H", "H", "H", "H", "In", "In"], "fractional_positions": [[0.365, 0.135, 0.500], [0.135, 0.635, 0.500], [0.865, 0.365, 0.500], [0.635, 0.865, 0.500], [0.923, 0.577, 0.000], [0.577, 0.077, 0.000], [0.077, 0.423, 0.000], [0.423, 0.923, 0.000], [0.000, 0.000, 0.000], [0.500, 0.500, 0.000]], "n_ef_per_ev_cell": 9.3, "m_tot_mub_per_fu": 0.37}

=====

Quick one: least stable of them? b)

=====

a) {"formula": "In2CoH2", "functional": "PBE-GGA", "state": "relaxed", "lattice_angstrom": [[3.030, 0.000, 0.000], [0.000, 3.030, 0.000], [1.515, 1.515, 6.708]], "species": ["H", "H", "Co", "In", "In"], "fractional_positions": [[0.750, 0.250, 0.500], [0.250, 0.750, 0.500], [0.000, 0.000, 0.000], [0.624, 0.624, 0.752], [0.376, 0.376, 0.248]], "n_ef_per_ev_cell": 1.3, "m_tot_mub_per_fu": 0.00}

=====

b) {"formula": "In2CoH2", "functional": "PBE-GGA", "state": "relaxed", "lattice_angstrom": [[5.646, 0.000, 0.000], [0.000, 5.646, 0.000], [0.000, 0.000, 4.069]], "species": ["In", "In", "In", "In", "Co", "Co", "H", "H", "H", "H"], "fractional_positions": [[0.186, 0.686, 0.500], [0.686, 0.814, 0.500], [0.314, 0.186, 0.500], [0.814, 0.314, 0.500], [0.500, 0.500, 0.000], [0.000, 0.000, 0.000], [0.752, 0.252, 0.000], [0.248, 0.748, 0.000], [0.748, 0.752, 0.000], [0.252, 0.248, 0.000]], "n_ef_per_ev_cell": 4.7, "m_tot_mub_per_fu": 0.00}

=====

Quick one: least stable of them? a)

=====

a) {"formula": "MnInCo2H", "functional": "PBE-GGA", "state": "relaxed", "lattice_angstrom": [[3.794, 0.000, 0.000], [0.000, 4.024, 0.000], [0.000, 0.000, 3.794]], "species": ["Co", "Co", "In", "H", "Mn"], "fractional_positions": [[0.500, 0.000, 0.000], [0.000, 0.000, 0.500], [0.000, 0.500, 0.000], [0.000, 0.000, 0.000], [0.500, 0.500, 0.500]], "n_ef_per_ev_cell": 3.8, "m_tot_mub_per_fu": 5.39}

=====

b) {"formula": "MnInCo2H", "functional": "PBE-GGA", "state": "relaxed", "lattice_angstrom": [[3.881, 0.000, 0.000], [0.000, 3.881, 0.000], [0.000, 0.000, 3.700]], "species": ["Co", "Co", "Mn", "In", "H"], "fractional_positions": [[0.500, 0.000, 0.000], [0.000, 0.500, 0.000], [0.000, 0.000, 0.500], [0.500, 0.500, 0.500], [0.000, 0.000, 0.000]], "n_ef_per_ev_cell": 3.3, "m_tot_mub_per_fu": 5.06}

=====

Quick one: least stable of them? a)

=====

a) {"formula": "InCoHRu2", "functional": "PBE-GGA", "state": "relaxed", "lattice_angstrom": [[3.993, 0.000, 0.000], [0.000, 3.993, 0.000], [0.000, 0.000, 3.811]], "species": ["In", "Ru", "Ru", "H", "Co"], "fractional_positions": [[0.500, 0.500, 0.500], [0.500, 0.000, 0.000], [0.000, 0.500, 0.000], [0.000, 0.000, 0.000], [0.000, 0.000, 0.500]], "n_ef_per_ev_cell": 7.7, "m_tot_mub_per_fu": 1.22}

=====

b) {"formula": "InCoHRu2", "functional": "PBE-GGA", "state": "relaxed", "lattice_angstrom": [[-2.213, -1.725, 4.103], [1.427, -4.368, -1.066], [4.189, 0.741, 2.571]], "species": ["Ru", "Ru", "Co", "In", "H"], "fractional_positions": [[0.500, 0.000, 0.000], [0.000, 0.000, 0.500], [0.000, 0.500, 0.000], [0.000, 0.000, 0.000], [0.500, 0.500, 0.500]], "n_ef_per_ev_cell": 7.0, "m_tot_mub_per_fu": 5.00}

=====

c) {"formula": "InCoHRu2", "functional": "PBE-GGA", "state": "relaxed", "lattice_angstrom": [[-0.576, -4.391, -1.765], [2.213, -1.035, 1.854], [-3.250, -0.925, 3.363]], "species": ["Ru", "Ru", "H", "In", "Co"], "fractional_positions": [[0.000, 0.000, 0.500], [0.500, 0.000, 0.000], [0.000, 0.500, 0.000], [0.500, 0.500, 0.500], [0.000, 0.000, 0.000]], "n_ef_per_ev_cell": 5.2, "m_tot_mub_per_fu": 3.75}

=====

Quick one: least stable of them? b)

=====

a) {"formula": "Co2HIr2", "functional": "PBE-GGA", "state": "relaxed", "lattice_angstrom": [[3.115, 0.000, 0.000], [0.000, 3.115, 0.000], [1.557, 1.557, 6.354]], "species": ["Ir", "Ir", "Co", "Co", "H"], "fractional_positions": [[0.403, 0.403, 0.194], [0.597, 0.597, 0.806], [0.250, 0.750, 0.500], [0.750, 0.250, 0.500], [0.000, 0.000, 0.000]], "n_ef_per_ev_cell": 5.9, "m_tot_mub_per_fu": 1.50}

=====

b) {"formula": "Co2HIr2", "functional": "PBE-GGA", "state": "relaxed", "lattice_angstrom": [[7.140, 0.000, 0.000], [0.000, 7.140, 0.000], [0.000, 0.000, 2.648]], "species": ["Co", "Co", "Co", "Co", "Ir", "Ir", "Ir", "Ir", "H", "H"], "fractional_positions": [[0.661, 0.839, 0.500], [0.839, 0.339, 0.500], [0.161, 0.661, 0.500], [0.339, 0.161, 0.500], [0.863, 0.637, 0.000], [0.363, 0.863, 0.000], [0.137, 0.363, 0.000], [0.637, 0.137, 0.000], [0.000, 0.000, 0.000], [0.500, 0.500, 0.000]], "n_ef_per_ev_cell": 13.2, "m_tot_mub_per_fu": 3.61}

=====

Quick one: least stable of them? a)

=====

a) {"formula": "CoH3Ir", "functional": "PBE-GGA", "state": "relaxed", "lattice_angstrom": [[3.219, 0.000, 0.000], [0.000, 3.219, 0.000], [0.000, 0.000, 3.219]], "species": ["Co", "H", "H", "H", "Ir"], "fractional_positions": [[0.000, 0.000, 0.000], [0.000, 0.500, 0.000], [0.000, 0.000, 0.500], [0.500, 0.000, 0.000], [0.500, 0.500, 0.500]], "n_ef_per_ev_cell": 2.5, "m_tot_mub_per_fu": 0.00}

=====

b) {"formula": "CoH3Ir", "functional": "PBE-GGA", "state": "relaxed", "lattice_angstrom": [[-1.125, 0.671, -3.152], [-1.723, -2.946, -0.012], [-2.723, 1.587, 1.310]], "species": ["Ir", "H", "H", "H", "Co"], "fractional_positions": [[0.000, 0.000, 0.000], [0.000, 0.500, 0.000], [0.000, 0.000, 0.500], [0.500, 0.000, 0.000], [0.500, 0.500, 0.500]], "n_ef_per_ev_cell": 6.4, "m_tot_mub_per_fu": 2.04}

=====

Quick one: least stable of them? a)

=====

a) {"formula": "Co2HIr", "functional": "PBE-GGA", "state": "relaxed", "lattice_angstrom": [[0.000, 2.819, 2.819], [2.819, 0.000, 2.819], [2.819, 2.819, 0.000]], "species": ["Ir", "Co", "Co", "H"], "fractional_positions": [[0.500, 0.500, 0.500], [0.750, 0.750, 0.750], [0.250, 0.250, 0.250], [0.000, 0.000, 0.000]], "n_ef_per_ev_cell": 5.4, "m_tot_mub_per_fu": 3.96}

=====

b) {"formula": "Co2HIr", "functional": "PBE-GGA", "state": "relaxed", "lattice_angstrom": [[-1.743, -1.812, 0.564], [1.674, -1.108, 1.615], [-2.057, 3.360, 4.437]], "species": ["Ir", "Co", "Co", "H"], "fractional_positions": [[0.500, 0.500, 0.500], [0.000, 0.000, 0.804], [0.000, 0.000, 0.196], [0.500, 0.500, 0.000]], "n_ef_per_ev_cell": 3.7, "m_tot_mub_per_fu": 0.00}

=====

c) {"formula": "Co2HIr", "functional": "PBE-GGA", "state": "relaxed", "lattice_angstrom": [[5.653, 0.000, 0.000], [0.000, 5.653, 0.000], [2.826, 2.826, 2.499]], "species": ["Co", "Co", "Co", "Co", "Ir", "Ir", "H", "H"], "fractional_positions": [[0.517, 0.125, 0.250], [0.875, 0.767, 0.750], [0.233, 0.625, 0.250], [0.375, 0.483, 0.750], [0.750, 0.250, 0.500], [0.000, 0.000, 0.000], [0.500, 0.500, 0.000], [0.250, 0.750, 0.500]], "n_ef_per_ev_cell": 11.7, "m_tot_mub_per_fu": 2.45}

=====

d) {"formula": "Co2HIr", "functional": "PBE-GGA", "state": "relaxed", "lattice_angstrom": [[2.669, 0.000, 0.000], [1.335, 2.312, 0.000], [1.335, 0.771, 6.314]], "species": ["Co", "Co", "H", "Ir"], "fractional_positions": [[0.055, 0.055, 0.835], [0.278, 0.278, 0.165], [0.667, 0.667, 0.998], [0.499, 0.499, 0.502]], "n_ef_per_ev_cell": 4.3, "m_tot_mub_per_fu": 3.61}

=====

Quick one: least stable of them? a)

=====

a) {"formula": "Co2H2Ir", "functional": "PBE-GGA", "state": "relaxed", "lattice_angstrom": [[-4.288, -3.341, -1.702], [3.714, -3.427, -2.629], [0.247, -1.476, 2.273]], "species": ["Co", "Co", "Co", "Co", "H", "H", "H", "H", "Ir", "Ir"], "fractional_positions": [[0.356, 0.144, 0.500], [0.644, 0.856, 0.500], [0.856, 0.356, 0.500], [0.144, 0.644, 0.500], [0.226, 0.274, 0.000], [0.774, 0.726, 0.000], [0.726, 0.226, 0.000], [0.274, 0.774, 0.000], [0.000, 0.000, 0.000], [0.500, 0.500, 0.000]], "n_ef_per_ev_cell": 5.8, "m_tot_mub_per_fu": 2.63}

=====

b) {"formula": "Co2H2Ir", "functional": "PBE-GGA", "state": "relaxed", "lattice_angstrom": [[2.696, 0.000, 0.000], [0.000, 2.696, 0.000], [1.348, 1.348, 5.664]], "species": ["Co", "Co", "Ir", "H", "H"], "fractional_positions": [[0.343, 0.343, 0.313], [0.657, 0.657, 0.687], [0.000, 0.000, 0.000], [0.250, 0.750, 0.500], [0.750, 0.250, 0.500]], "n_ef_per_ev_cell": 3.6, "m_tot_mub_per_fu": 1.99}

=====

Quick one: least stable of them? a)

=====

a) {"formula": "CoH2Ir2", "functional": "PBE-GGA", "state": "relaxed", "lattice_angstrom": [[3.868, 0.000, 0.000], [0.000, 3.868, 0.000], [1.934, 1.934, 3.299]], "species": ["Co", "Ir", "Ir", "H", "H"], "fractional_positions": [[0.000, 0.000, 0.000], [0.750, 0.250, 0.500], [0.250, 0.750, 0.500], [0.695, 0.695, 0.609], [0.305, 0.305, 0.391]], "n_ef_per_ev_cell": 2.8, "m_tot_mub_per_fu": 0.00}

=====

b) {"formula": "CoH2Ir2", "functional": "PBE-GGA", "state": "relaxed", "lattice_angstrom": [[-1.368, 0.849, 4.878], [2.250, -4.401, 1.397], [3.172, 1.804, 0.576]], "species": ["H", "H", "H", "H", "Ir", "Ir", "Ir", "Ir", "Co", "Co"], "fractional_positions": [[0.185, 0.685, 0.000], [0.315, 0.185, 0.000], [0.685, 0.815, 0.000], [0.815, 0.315, 0.000], [0.186, 0.686, 0.500], [0.686, 0.814, 0.500], [0.314, 0.186, 0.500], [0.814, 0.314, 0.500], [0.500, 0.500, 0.000], [0.000, 0.000, 0.000]], "n_ef_per_ev_cell": 9.1, "m_tot_mub_per_fu": 1.00}

=====

Quick one: least stable of them? a)

=====

a) {"formula": "MgCo2HIr", "functional": "PBE-GGA", "state": "relaxed", "lattice_angstrom": [[3.668, 0.000, 0.000], [0.000, 3.668, 0.000], [0.000, 0.000, 3.930]], "species": ["Co", "Co", "H", "Mg", "Ir"], "fractional_positions": [[0.500, 0.000, 0.000], [0.000, 0.500, 0.000], [0.000, 0.000, 0.000], [0.000, 0.000, 0.500], [0.500, 0.500, 0.500]], "n_ef_per_ev_cell": 5.8, "m_tot_mub_per_fu": 0.71}

=====

b) {"formula": "MgCo2HIr", "functional": "PBE-GGA", "state": "relaxed", "lattice_angstrom": [[-3.637, -0.152, 1.068], [-1.013, -0.806, -3.566], [0.375, -3.754, 0.742]], "species": ["Co", "Co", "Ir", "Mg", "H"], "fractional_positions": [[0.500, 0.000, 0.000], [0.000, 0.500, 0.000], [0.000, 0.000, 0.500], [0.500, 0.500, 0.500], [0.000, 0.000, 0.000]], "n_ef_per_ev_cell": 6.9, "m_tot_mub_per_fu": 3.35}

=====

Quick one: least stable of them? a)